Entry 1:
LiMn2Au2 | Alexandria | GGA-PBE | optimized geometry; total moment = 16.41 Bohr magnetons per cell; DOS(E_F) = 5.3 states/eV per cell; calculated formation energy = -0.0200 eV/atom; relative energy among the computed polymorphs = 0.013 eV/atom; E_tot = -53.82 eV for the cell shown
1.0
7.758 0.000 0.000
0.000 7.758 0.000
0.000 0.000 2.945
Li Au Mn
2 4 4
Direct
0.500 0.500 0.000 Li
0.000 0.000 0.000 Li
0.335 0.165 0.500 Au
0.165 0.665 0.500 Au
0.665 0.835 0.500 Au
0.835 0.335 0.500 Au
0.632 0.132 0.000 Mn
0.132 0.368 0.000 Mn
0.868 0.632 0.000 Mn
0.368 0.868 0.000 Mn



Entry 2:
LiMn2Au2 | Alexandria | GGA-PBE | optimized geometry; total moment = 16.49 Bohr magnetons per cell; DOS(E_F) = 6.6 states/eV per cell; calculated formation energy = -0.0328 eV/atom; relative energy among the computed polymorphs = 0.000 eV/atom; E_tot = -53.94 eV for the cell shown
1.0
7.539 0.000 0.000
0.000 7.539 0.000
0.000 0.000 3.118
Au Mn Li
4 4 2
Direct
0.852 0.648 0.000 Au
0.352 0.852 0.000 Au
0.148 0.352 0.000 Au
0.648 0.148 0.000 Au
0.850 0.350 0.500 Mn
0.150 0.650 0.500 Mn
0.650 0.850 0.500 Mn
0.350 0.150 0.500 Mn
0.500 0.500 0.000 Li
0.000 0.000 0.000 Li



Entry 3:
Li3MnAu4 | Alexandria | GGA-PBE | optimized geometry; total moment = 4.30 Bohr magnetons per cell; DOS(E_F) = 2.2 states/eV per cell; calculated formation energy = -0.4102 eV/atom; E_tot = -31.30 eV for the cell shown
1.0
3.162 0.000 0.000
0.000 3.162 0.000
0.000 0.000 12.449
Li Mn Au
3 1 4
Direct
0.500 0.500 0.500 Li
0.500 0.500 0.743 Li
0.500 0.500 0.257 Li
0.500 0.500 0.000 Mn
0.000 0.000 0.132 Au
0.000 0.000 0.868 Au
0.000 0.000 0.622 Au
0.000 0.000 0.378 Au



Entry 4:
LiMn2Au | Alexandria | GGA-PBE | optimized geometry; total moment = 7.74 Bohr magnetons per cell; DOS(E_F) = 3.2 states/eV per cell; calculated formation energy = 0.1090 eV/atom; relative energy among the computed polymorphs = 0.099 eV/atom; E_tot = -23.09 eV for the cell shown
1.0
4.823 -0.325 -0.034
3.469 3.366 -0.034
1.668 0.612 3.507
Li Mn Au
1 2 1
Direct
0.250 0.250 0.250 Li
0.750 0.750 0.750 Mn
0.000 0.000 0.000 Mn
0.500 0.500 0.500 Au



Entry 5:
Li2MnAu | Alexandria | GGA-PBE | optimized geometry; total moment = 4.02 Bohr magnetons per cell; DOS(E_F) = 2.3 states/eV per cell; calculated formation energy = -0.1485 eV/atom; E_tot = -16.87 eV for the cell shown
1.0
-4.148 2.201 -0.179
-2.917 -3.120 -1.959
2.877 -0.564 3.672
Mn Li Au
1 2 1
Direct
0.500 0.500 0.000 Mn
0.000 0.000 0.000 Li
0.750 0.250 0.500 Li
0.250 0.750 0.500 Au



Entry 6:
LiMnAu2 | Alexandria | GGA-PBE | optimized geometry; total moment = 4.07 Bohr magnetons per cell; DOS(E_F) = 1.6 states/eV per cell; calculated formation energy = -0.0974 eV/atom; E_tot = -18.03 eV for the cell shown
1.0
8.671 -0.163 -0.096
8.202 2.817 -0.096
8.202 1.290 2.506
Au Mn Li
2 1 1
Direct
0.500 0.500 0.500 Au
0.000 0.000 0.000 Au
0.750 0.750 0.750 Mn
0.250 0.250 0.250 Li



Entry 7:
Li2MnAu | Alexandria | GGA-PBE | optimized geometry; total moment = 3.81 Bohr magnetons per cell; DOS(E_F) = 2.5 states/eV per cell; calculated formation energy = -0.1117 eV/atom; E_tot = -16.72 eV for the cell shown
1.0
4.144 0.000 0.000
0.000 3.860 0.000
0.000 0.000 3.860
Au Mn Li
1 1 2
Direct
0.500 0.000 0.500 Au
0.500 0.500 0.000 Mn
0.000 0.000 0.000 Li
0.000 0.500 0.500 Li



Entry 8:
LiMnAu2 | Alexandria | GGA-PBE | optimized geometry; total moment = 4.10 Bohr magnetons per cell; DOS(E_F) = 2.4 states/eV per cell; calculated formation energy = -0.1633 eV/atom; E_tot = -18.29 eV for the cell shown
1.0
-2.540 0.987 -0.815
-0.244 -3.010 -2.886
-2.463 -3.314 3.664
Au Li Mn
2 1 1
Direct
0.000 0.000 0.966 Au
0.500 0.500 0.287 Au
0.000 0.000 0.474 Li
0.500 0.500 0.773 Mn



Entry 9:
LiMnAu2 | Alexandria | GGA-PBE | optimized geometry; total moment = 4.35 Bohr magnetons per cell; DOS(E_F) = 1.5 states/eV per cell; calculated formation energy = -0.2684 eV/atom; E_tot = -18.71 eV for the cell shown
1.0
3.287 0.000 0.000
0.000 3.173 -0.010
0.000 3.194 6.138
Li Au Mn
1 2 1
Direct
0.500 0.250 0.250 Li
0.000 0.992 0.008 Au
0.000 0.508 0.492 Au
0.500 0.750 0.750 Mn



Entry 10:
LiMn3Au | Alexandria | GGA-PBE | optimized geometry; total moment = 10.72 Bohr magnetons per cell; DOS(E_F) = 10.2 states/eV per cell; calculated formation energy = 0.9280 eV/atom; relative energy among the computed polymorphs = 0.088 eV/atom; E_tot = -28.06 eV for the cell shown
1.0
4.232 0.000 0.000
0.000 4.232 0.000
0.000 0.000 4.232
Au Li Mn
1 1 3
Direct
0.500 0.500 0.500 Au
0.000 0.000 0.000 Li
0.000 0.000 0.500 Mn
0.000 0.500 0.000 Mn
0.500 0.000 0.000 Mn



Entry 11:
LiMn3Au12 | Alexandria | GGA-PBE | optimized geometry; total moment = 13.56 Bohr magnetons per cell; DOS(E_F) = 7.2 states/eV per cell; calculated formation energy = -0.0990 eV/atom; E_tot = -70.33 eV for the cell shown
1.0
-3.810 0.439 -1.498
1.196 -1.717 -3.546
-3.991 -14.789 5.815
Au Mn Li
12 3 1
Direct
0.500 0.500 0.248 Au
0.500 0.500 0.000 Au
0.500 0.500 0.752 Au
0.000 0.500 0.374 Au
0.500 0.500 0.500 Au
0.000 0.500 0.876 Au
0.500 0.000 0.876 Au
0.000 0.500 0.124 Au
0.500 0.000 0.374 Au
0.500 0.000 0.124 Au
0.500 0.000 0.626 Au
0.000 0.500 0.626 Au
0.000 0.000 0.753 Mn
0.000 0.000 0.247 Mn
0.000 0.000 0.500 Mn
0.000 0.000 0.000 Li



Entry 12:
LiMnAu2 | Alexandria | GGA-PBE | optimized geometry; total moment = 8.67 Bohr magnetons per cell; DOS(E_F) = 6.1 states/eV per cell; calculated formation energy = 0.1068 eV/atom; E_tot = -34.42 eV for the cell shown
1.0
3.971 0.000 0.000
0.000 3.971 0.000
1.985 1.985 9.110
Au Mn Li
4 2 2
Direct
0.875 0.871 0.750 Au
0.375 0.379 0.750 Au
0.129 0.625 0.250 Au
0.621 0.125 0.250 Au
0.000 0.000 0.000 Mn
0.750 0.250 0.500 Mn
0.250 0.750 0.500 Li
0.500 0.500 0.000 Li